No. 1
Here is a relaxed structure of RbHg3 from the Alexandria database. Energies are from PBE.

Computed properties:
- VASP energy (eV per atom) = -0.6891
- energy of formation from the pure elements (eV/atom) = -0.221

Cell: 7.9707 7.9707 5.4574 Å, 90.00 90.00 127.27°
Last column: nearest neighbours and their distance in Å.
Positions (direct):
Rb 0.2028 0.7972 0.7500  12 Hg 3.74-4.14
Rb 0.7972 0.2028 0.2500  12 Hg 3.74-4.14
Hg 0.1671 0.2943 0.7500  6 Hg 3.22-3.42
Hg 0.2943 0.1671 0.2500  6 Hg 3.22-3.42
Hg 0.3823 0.6177 0.2500  6 Hg 3.22-3.42
Hg 0.6177 0.3823 0.7500  6 Hg 3.22-3.42
Hg 0.7057 0.8329 0.7500  6 Hg 3.22-3.42
Hg 0.8329 0.7057 0.2500  6 Hg 3.22-3.42

No. 2
Here is a relaxed structure of Rb7Hg3 from the Alexandria database. Energies are from PBE.

Computed properties:
- VASP energy (eV per atom) = -0.9021
- energy of formation from the pure elements (eV/atom) = -0.134

Cell: 13.0181 13.0181 8.1397 Å, 90.00 90.00 120.00°
Last column: nearest neighbours and their distance in Å.
Positions (direct):
Rb 0.0792 0.5396 0.0000  2 Hg 3.82
Rb 0.1230 0.2460 0.2810  3 Hg 3.80-3.88
Rb 0.1230 0.8770 0.2810  3 Hg 3.80-3.88
Rb 0.2460 0.1230 0.7810  3 Hg 3.80-3.88
Rb 0.3333 0.6667 0.4965  3 Hg 3.70
Rb 0.4604 0.5396 0.0000  2 Hg 3.82
Rb 0.4604 0.9208 0.0000  2 Hg 3.82
Rb 0.5396 0.0792 0.5000  2 Hg 3.82
Rb 0.5396 0.4604 0.5000  2 Hg 3.82
Rb 0.6667 0.3333 0.9965  3 Hg 3.70
Rb 0.7540 0.8770 0.2810  3 Hg 3.80-3.88
Rb 0.8770 0.1230 0.7810  3 Hg 3.80-3.88
Rb 0.8770 0.7540 0.7810  3 Hg 3.80-3.88
Rb 0.9208 0.4604 0.5000  2 Hg 3.82
Hg 0.1903 0.3805 0.7200  6 Rb 3.70-3.88
Hg 0.1903 0.8097 0.7200  6 Rb 3.70-3.88
Hg 0.3805 0.1903 0.2200  6 Rb 3.70-3.88
Hg 0.6195 0.8097 0.7200  6 Rb 3.70-3.88
Hg 0.8097 0.1903 0.2200  6 Rb 3.70-3.88
Hg 0.8097 0.6195 0.2200  6 Rb 3.70-3.88

No. 3
Here is a relaxed structure of Rb2Hg from the Alexandria database. Energies are from PBE.

Computed properties:
- energy above the most stable polymorph in this dataset (eV per atom) = 0.0000
- VASP energy (eV per atom) = -0.9135
- energy of formation from the pure elements (eV/atom) = -0.168

Cell: 5.2163 7.4759 9.6428 Å, 78.82 74.54 89.99°
Last column: nearest neighbours and their distance in Å.
Positions (direct):
Rb 0.0857 0.2914 0.3335  3 Hg 3.77-3.78
Rb 0.3389 0.1686 0.8201  4 Hg 3.81-4.06
Rb 0.6611 0.8314 0.1799  4 Hg 3.81-4.06
Rb 0.9143 0.7086 0.6665  3 Hg 3.77-3.78
Hg 0.2669 0.6195 0.9658  2 Hg 3.15
Hg 0.7331 0.3805 0.0342  2 Hg 3.15

No. 4
Here is a relaxed structure of RbHg3 from the Alexandria database. Energies are from PBE.

Computed properties:
- VASP energy (eV per atom) = -0.6590
- energy of formation from the pure elements (eV/atom) = -0.191

Cell: 6.0907 6.0907 6.0907 Å, 127.49 127.49 77.45°
Last column: nearest neighbours and their distance in Å.
Positions (direct):
Rb 0.0000 0.0000 0.0000  12 Hg 3.59-3.81
Hg 0.2500 0.7500 0.5000  8 Hg 3.59-3.81, 4 Rb 3.59
Hg 0.5000 0.5000 0.0000  8 Hg 3.59, 4 Rb 3.81
Hg 0.7500 0.2500 0.5000  8 Hg 3.59-3.81, 4 Rb 3.59

No. 5
Here is a relaxed structure of Rb5Hg4 from the Alexandria database. Energies are from PBE.

Computed properties:
- energy above the most stable polymorph in this dataset (eV per atom) = 0.0247
- VASP energy (eV per atom) = -0.8502
- energy of formation from the pure elements (eV/atom) = -0.179

Cell: 6.4348 6.4348 12.7170 Å, 104.84 104.84 60.11°
Last column: nearest neighbours and their distance in Å.
Positions (direct):
Rb 0.0000 0.0000 0.0000  6 Hg 4.00, 6 Rb 4.42
Rb 0.1358 0.1358 0.4050  3 Hg 3.74
Rb 0.2668 0.2668 0.8026  4 Hg 3.82-3.88
Rb 0.7332 0.7332 0.1974  4 Hg 3.82-3.88
Rb 0.8642 0.8642 0.5950  3 Hg 3.74
Hg 0.3747 0.3747 0.1224  1 Hg 3.04
Hg 0.4586 0.4586 0.3729  2 Hg 3.04-3.09
Hg 0.5414 0.5414 0.6271  2 Hg 3.04-3.09
Hg 0.6253 0.6253 0.8776  1 Hg 3.04

No. 6
Here is a relaxed structure of Rb6Hg from the Alexandria database. Energies are from PBE.

Computed properties:
- energy above the most stable polymorph in this dataset (eV per atom) = 0.3162
- VASP energy (eV per atom) = -0.6064
- energy of formation from the pure elements (eV/atom) = 0.266

Cell: 11.0048 11.0048 11.0048 Å, 109.47 109.47 109.47°
Last column: nearest neighbours and their distance in Å.
Positions (direct):
Rb 0.2500 0.5000 0.7500  4 Rb 4.49
Rb 0.2500 0.7500 0.5000  4 Rb 4.49
Rb 0.5000 0.2500 0.7500  4 Rb 4.49
Rb 0.5000 0.7500 0.2500  4 Rb 4.49
Rb 0.7500 0.2500 0.5000  4 Rb 4.49
Rb 0.7500 0.5000 0.2500  4 Rb 4.49
Hg 0.0000 0.0000 0.0000  none within 6

No. 7
Here is a relaxed structure of Rb3Hg5 from the Alexandria database. Energies are from PBE.

Computed properties:
- VASP energy (eV per atom) = -0.7962
- energy of formation from the pure elements (eV/atom) = -0.245

Cell: 13.8254 11.9880 7.6255 Å, 90.00 90.00 90.00°
Last column: nearest neighbours and their distance in Å.
Positions (direct):
Rb 0.0708 0.2500 0.1686  9 Hg 3.58-3.99
Rb 0.1533 0.5196 0.5986  10 Hg 3.74-4.11
Rb 0.1533 0.9804 0.5986  10 Hg 3.74-4.11
Rb 0.3467 0.0196 0.0986  10 Hg 3.74-4.11
Rb 0.3467 0.4804 0.0986  10 Hg 3.74-4.11
Rb 0.4292 0.7500 0.6686  9 Hg 3.58-3.99
Rb 0.5708 0.2500 0.3314  9 Hg 3.58-3.99
Rb 0.6533 0.5196 0.9014  10 Hg 3.74-4.11
Rb 0.6533 0.9804 0.9014  10 Hg 3.74-4.11
Rb 0.8467 0.0196 0.4014  10 Hg 3.74-4.11
Rb 0.8467 0.4804 0.4014  10 Hg 3.74-4.11
Rb 0.9292 0.7500 0.8314  9 Hg 3.58-3.99
Hg 0.0134 0.2500 0.6559  3 Hg 3.15-3.35
Hg 0.0794 0.5590 0.1168  3 Hg 3.15-3.21
Hg 0.0794 0.9410 0.1168  3 Hg 3.15-3.21
Hg 0.1992 0.7500 0.9184  3 Hg 3.13-3.21
Hg 0.2395 0.2500 0.8133  2 Hg 3.13-3.35
Hg 0.2605 0.7500 0.3133  2 Hg 3.13-3.35
Hg 0.3008 0.2500 0.4184  3 Hg 3.13-3.21
Hg 0.4206 0.0590 0.6168  3 Hg 3.15-3.21
Hg 0.4206 0.4410 0.6168  3 Hg 3.15-3.21
Hg 0.4866 0.7500 0.1559  3 Hg 3.15-3.35
Hg 0.5134 0.2500 0.8441  3 Hg 3.15-3.35
Hg 0.5794 0.5590 0.3832  3 Hg 3.15-3.21
Hg 0.5794 0.9410 0.3832  3 Hg 3.15-3.21
Hg 0.6992 0.7500 0.5816  3 Hg 3.13-3.21
Hg 0.7395 0.2500 0.6867  2 Hg 3.13-3.35
Hg 0.7605 0.7500 0.1867  2 Hg 3.13-3.35
Hg 0.8008 0.2500 0.0816  3 Hg 3.13-3.21
Hg 0.9206 0.0590 0.8832  3 Hg 3.15-3.21
Hg 0.9206 0.4410 0.8832  3 Hg 3.15-3.21
Hg 0.9866 0.7500 0.3441  3 Hg 3.15-3.35

No. 8
Here is a relaxed structure of Rb3Hg from the Alexandria database. Energies are from PBE.

Computed properties:
- VASP energy (eV per atom) = -0.8424
- energy of formation from the pure elements (eV/atom) = -0.041

Cell: 7.0275 7.0275 7.0275 Å, 60.00 60.00 60.00°
Last column: nearest neighbours and their distance in Å.
Positions (direct):
Rb 0.0000 0.0000 0.0000  8 Rb 4.30
Rb 0.2500 0.2500 0.2500  4 Hg 4.30, 4 Rb 4.30
Rb 0.7500 0.7500 0.7500  4 Rb 4.30, 4 Hg 4.30
Hg 0.5000 0.5000 0.5000  8 Rb 4.30

No. 9
Here is a relaxed structure of Rb6Hg5 from the Alexandria database. Energies are from PBE.

Computed properties:
- VASP energy (eV per atom) = -0.8251
- energy of formation from the pure elements (eV/atom) = -0.160

Cell: 8.0492 8.0492 9.2207 Å, 96.98 96.98 107.37°
Last column: nearest neighbours and their distance in Å.
Positions (direct):
Rb 0.0418 0.3704 0.2093  4 Hg 3.60-3.83
Rb 0.2097 0.2097 0.6897  3 Hg 3.56-3.85
Rb 0.3704 0.0418 0.2093  4 Hg 3.60-3.83
Rb 0.6296 0.9582 0.7907  4 Hg 3.60-3.83
Rb 0.7903 0.7903 0.3103  3 Hg 3.56-3.85
Rb 0.9582 0.6296 0.7907  4 Hg 3.60-3.83
Hg 0.2582 0.7418 0.5000  1 Hg 3.14
Hg 0.3853 0.6147 0.0000  1 Hg 2.97
Hg 0.5000 0.5000 0.5000  2 Hg 3.14
Hg 0.6147 0.3853 0.0000  1 Hg 2.97
Hg 0.7418 0.2582 0.5000  1 Hg 3.14

No. 10
Here is a relaxed structure of Rb2Hg7 from the Alexandria database. Energies are from PBE.

Computed properties:
- energy above the most stable polymorph in this dataset (eV per atom) = 0.0352
- VASP energy (eV per atom) = -0.6370
- energy of formation from the pure elements (eV/atom) = -0.187

Cell: 16.7870 16.7870 16.7870 Å, 22.30 22.30 22.30°
Last column: nearest neighbours and their distance in Å.
Positions (direct):
Rb 0.0518 0.0518 0.0518  12 Hg 3.75-4.12
Rb 0.1501 0.1501 0.1501  12 Hg 3.76-3.98, 3 Rb 4.09
Rb 0.8499 0.8499 0.8499  12 Hg 3.76-3.98, 3 Rb 4.09
Rb 0.9482 0.9482 0.9482  12 Hg 3.75-4.12
Hg 0.0000 0.5000 0.5000  8 Hg 3.25-3.34
Hg 0.1058 0.6141 0.6141  7 Hg 3.19-3.32
Hg 0.2783 0.2783 0.2783  6 Hg 3.29-3.32
Hg 0.3859 0.3859 0.8942  7 Hg 3.19-3.32
Hg 0.3859 0.8942 0.3859  7 Hg 3.19-3.32
Hg 0.3896 0.3896 0.3896  6 Hg 3.31-3.34
Hg 0.5000 0.0000 0.5000  8 Hg 3.25-3.34
Hg 0.5000 0.5000 0.0000  8 Hg 3.25-3.34
Hg 0.5000 0.5000 0.5000  6 Hg 3.32
Hg 0.6104 0.6104 0.6104  6 Hg 3.31-3.34
Hg 0.6141 0.1058 0.6141  7 Hg 3.19-3.32
Hg 0.6141 0.6141 0.1058  7 Hg 3.19-3.32
Hg 0.7217 0.7217 0.7217  6 Hg 3.29-3.32
Hg 0.8942 0.3859 0.3859  7 Hg 3.19-3.32